K3Y2TmS6 | PBE-GGA | optimized geometry

Geometry as CIF:
```
data_K3Y2TmS6
_symmetry_space_group_name_H-M 'C 1 2/m 1'
_symmetry_Int_Tables_number 12
_symmetry_space_group_name_Hall '-C 2y'
_cell_length_a 6.993
_cell_length_b 12.112
_cell_length_c 7.727
_cell_angle_alpha 90.00
_cell_angle_beta 107.56
_cell_angle_gamma 90.00
loop_
_atom_site_label
_atom_site_fract_x
_atom_site_fract_y
_atom_site_fract_z
K1 0.000 0.000 0.000
K2 0.000 0.333 0.000
Y1 0.000 0.167 0.500
Tm1 0.000 0.500 0.500
S1 0.232 0.335 0.701
S2 0.237 0.000 0.701
```

**Electronic total energy**: -136.3 eV/cell
**ΔE_f (raw)**: -22.7 eV per formula unit
**Spin magnetization**: 0.00 μB/cell

=====

RbZn3Si | PBE-GGA | optimized geometry

Geometry as CIF:
```
data_RbZn3Si
_symmetry_space_group_name_H-M 'P m -3 m'
_symmetry_Int_Tables_number 221
_symmetry_space_group_name_Hall '-P 4 2 3'
_cell_length_a 6.601
_cell_length_b 6.601
_cell_length_c 6.601
_cell_angle_alpha 90.00
_cell_angle_beta 90.00
_cell_angle_gamma 90.00
loop_
_atom_site_label
_atom_site_fract_x
_atom_site_fract_y
_atom_site_fract_z
Rb1 0.000 0.000 0.000
Zn1 0.000 0.000 0.500
Si1 0.500 0.500 0.500
```

**Electronic total energy**: -3.6 eV/cell
**ΔE_f (raw)**: 6.6 eV per formula unit
**Spin magnetization**: 2.96 μB/cell
**Energy above the most stable polymorph in this dataset**: 499 kJ/mol of formula units

=====

LiSc2AlC | PBE-GGA | optimized geometry

Geometry as CIF:
```
data_LiSc2AlC
_symmetry_space_group_name_H-M 'P 4/m m m'
_symmetry_Int_Tables_number 123
_symmetry_space_group_name_Hall '-P 4 2'
_cell_length_a 4.481
_cell_length_b 4.481
_cell_length_c 4.263
_cell_angle_alpha 90.00
_cell_angle_beta 90.00
_cell_angle_gamma 90.00
loop_
_atom_site_label
_atom_site_fract_x
_atom_site_fract_y
_atom_site_fract_z
Li1 0.000 0.000 0.000
Sc1 0.000 0.500 0.500
Al1 0.500 0.500 0.000
C1 0.000 0.000 0.500
```

**Electronic total energy**: -28.6 eV/cell
**Spin magnetization**: 0.00 μB/cell
**Energy above the most stable polymorph in this dataset**: 0 kJ/mol of formula units

=====

ErAlSi | PBE-GGA | optimized geometry

Geometry as CIF:
```
data_ErAlSi
_symmetry_space_group_name_H-M 'C m c m'
_symmetry_Int_Tables_number 63
_symmetry_space_group_name_Hall '-C 2c 2'
_cell_length_a 3.990
_cell_length_b 10.204
_cell_length_c 5.675
_cell_angle_alpha 90.00
_cell_angle_beta 90.00
_cell_angle_gamma 90.00
loop_
_atom_site_label
_atom_site_fract_x
_atom_site_fract_y
_atom_site_fract_z
Er1 0.000 0.195 0.250
Al1 0.000 0.500 0.000
Si1 0.000 0.100 0.750
```

**Electronic total energy**: -62.3 eV/cell
**ΔE_f (raw)**: -1.8 eV per formula unit
**Spin magnetization**: 0.00 μB/cell